(1)
CaSi2Cl after structural relaxation, computed with PBE.

Summary:
- space-group type = I-4m2
- total magnetic moment (μB per formula unit) = 0.000
- energy relative to the lowest polymorph listed for this composition (meV/atom) = 659

Cell and atoms, written as POSCAR:
```
CaSi2Cl
1.0
4.9065 -0.0034 0.0000
0.0170 4.9065 0.0000
-2.4618 -2.4516 3.4646
Ca Cl Si
1 1 2
direct
0.5000 0.5000 0.0000 Ca
0.7500 0.2500 0.5000 Cl
0.0000 0.0000 0.0000 Si
0.2500 0.7500 0.5000 Si
```

=====

(2)
CaSi2Cl after structural relaxation, computed with PBE.

Summary:
- space-group type = Cm
- total magnetic moment (μB per formula unit) = 0.000
- energy relative to the lowest polymorph listed for this composition (meV/atom) = 0

Cell and atoms, written as POSCAR:
```
CaSi2Cl
1.0
-3.2191 1.2535 -1.8441
-2.0222 -2.4485 -2.2913
-6.0644 -2.5526 4.9010
Ca Cl Si
1 1 2
direct
0.5074 0.5074 0.4836 Ca
0.7805 0.7805 0.6736 Cl
0.9527 0.9527 0.1293 Si
0.2594 0.2594 0.2135 Si
```

=====

(3)
CaSiCl2 after structural relaxation, computed with PBE.

Summary:
- space-group type = I-42d
- total magnetic moment (μB per formula unit) = 0.000
- energy relative to the lowest polymorph listed for this composition (meV/atom) = 203

Cell and atoms, written as POSCAR:
```
CaSiCl2
1.0
-3.7729 -5.0866 4.4121
0.4913 -5.2520 -5.6347
1.2320 -6.2274 0.6255
Ca Si Cl
2 2 4
direct
0.0000 0.0000 0.0000 Ca
0.7500 0.2500 0.5000 Ca
0.5000 0.5000 0.0000 Si
0.2500 0.7500 0.5000 Si
0.6331 0.1250 0.2500 Cl
0.1169 0.6250 0.2500 Cl
0.3750 0.3669 0.7500 Cl
0.8750 0.8831 0.7500 Cl
```

=====

Repeat the third record exactly.
CaSiCl2 after structural relaxation, computed with PBE.

Summary:
- space-group type = I-42d
- total magnetic moment (μB per formula unit) = 0.000
- energy relative to the lowest polymorph listed for this composition (meV/atom) = 203

Cell and atoms, written as POSCAR:
```
CaSiCl2
1.0
-3.7729 -5.0866 4.4121
0.4913 -5.2520 -5.6347
1.2320 -6.2274 0.6255
Ca Si Cl
2 2 4
direct
0.0000 0.0000 0.0000 Ca
0.7500 0.2500 0.5000 Ca
0.5000 0.5000 0.0000 Si
0.2500 0.7500 0.5000 Si
0.6331 0.1250 0.2500 Cl
0.1169 0.6250 0.2500 Cl
0.3750 0.3669 0.7500 Cl
0.8750 0.8831 0.7500 Cl
```